1.
Pt2RhW | PBEsol | optimized geometry

POSCAR file:
```
Pt2RhW
1.0
-0.005 2.730 0.277
-0.293 -0.276 2.714
7.788 -0.069 0.835
Pt Rh W
2 1 1
Cartesian
1.838 1.209 1.709
7.711 -0.069 0.826
3.979 -0.035 0.426
5.643 1.175 2.117
```

Output
Symmetry   No. 99
M_tot   0.000 μB/atom


2.
MgMnAs4 | PBEsol | optimized geometry

POSCAR file:
```
MgMnAs4
1.0
5.501 0.000 0.000
2.750 4.764 0.000
2.750 1.588 4.491
Mg As Mn
1 4 1
Cartesian
8.251 4.764 3.368
5.501 3.176 3.935
6.880 2.379 1.683
4.121 2.379 1.683
5.501 4.768 1.683
0.000 0.000 0.000
```

Output
Symmetry   No. 216
M_tot   0.693 μB/atom


Number 1: total DFT energy (no corrections) -36.72 eV/cell, DFT formation energy -0.21 eV per atom, DOS at the Fermi energy 0.71 states/eV/atom. Number 2: total DFT energy (no corrections) -29.41 eV/cell, DFT formation energy 0.41 eV per atom, DOS at the Fermi energy 0.51 states/eV/atom.